The following is a DFT calculation (PBE) of Tm5IrOs after structural relaxation.

Lattice parameters (Å, degrees): 7.794 7.794 10.135 63.12 63.12 110.56
Fractional positions:
Tm  0.071  0.913  0.350
Tm  0.929  0.087  0.650
Tm  0.413  0.571  0.850
Os  0.851  0.649  0.750
Tm  0.066  0.434  0.750
Tm  0.738  0.028  0.306
Tm  0.528  0.238  0.806
Tm  0.587  0.429  0.150
Tm  0.262  0.972  0.694
Tm  0.472  0.762  0.194
Ir  0.500  0.500  0.500
Tm  0.934  0.566  0.250
Os  0.149  0.351  0.250
Ir  0.000  0.000  0.000


The following is a DFT calculation (PBE) of TmIrOs after structural relaxation.

Calculated values
- Energy above the lowest structure with this stoichiometry: 0.212 eV per atom

Lattice parameters (Å, degrees): 4.193 6.761 6.761 120.00 90.00 90.00
Fractional positions:
Tm  0.000  0.592  0.592
Os  0.500  0.000  0.756
Ir  0.500  0.667  0.333
Ir  0.500  0.333  0.667
Os  0.500  0.756  0.000
Ir  0.000  0.000  0.000
Os  0.500  0.244  0.244
Tm  0.000  0.408  0.000
Tm  0.000  0.000  0.408


The following is a DFT calculation (PBE) of Tm8Ir2Os after structural relaxation.

Calculated values
- Energy above the lowest structure with this stoichiometry: 0.071 eV per atom

Lattice parameters (Å, degrees): 5.699 7.470 7.470 112.25 100.07 100.07
Fractional positions:
Ir  0.492  0.320  0.694
Os  0.130  0.000  0.000
Tm  0.806  0.644  0.644
Tm  0.574  0.333  0.078
Tm  0.389  0.931  0.676
Tm  0.990  0.783  0.217
Ir  0.492  0.694  0.320
Tm  0.990  0.217  0.783
Tm  0.174  0.359  0.359
Tm  0.389  0.676  0.931
Tm  0.574  0.078  0.333


The following is a DFT calculation (PBE) of Tm2IrOs3 after structural relaxation.

Lattice parameters (Å, degrees): 5.235 5.235 5.423 89.97 118.86 120.03
Fractional positions:
Os  0.500  0.000  0.500
Tm  0.754  0.377  0.132
Os  0.500  0.500  0.500
Ir  0.000  0.000  0.000
Os  0.000  0.000  0.500
Tm  0.246  0.623  0.868


The following is a DFT calculation (PBE) of TmIrOs after structural relaxation.

Calculated values
- Energy above the lowest structure with this stoichiometry: 0.000 eV per atom

Lattice parameters (Å, degrees): 5.148 5.355 5.355 60.66 61.27 61.27
Fractional positions:
Ir  0.500  0.000  0.500
Tm  0.878  0.372  0.372
Os  0.500  0.000  0.000
Os  0.000  0.000  0.000
Ir  0.500  0.500  0.000
Tm  0.122  0.628  0.628


The following is a DFT calculation (PBE) of Tm8IrOs2 after structural relaxation.

Calculated values
- Energy above the lowest structure with this stoichiometry: 0.062 eV per atom

Lattice parameters (Å, degrees): 5.694 7.464 7.464 111.93 100.18 100.18
Fractional positions:
Tm  0.390  0.673  0.932
Tm  0.990  0.219  0.784
Os  0.489  0.694  0.318
Tm  0.799  0.639  0.639
Tm  0.390  0.932  0.673
Os  0.489  0.318  0.694
Tm  0.990  0.784  0.219
Ir  0.130  0.998  0.998
Tm  0.578  0.077  0.338
Tm  0.578  0.338  0.077
Tm  0.179  0.362  0.362


The following is a DFT calculation (PBE) of Tm8IrOs2 after structural relaxation.

Calculated values
- Energy above the lowest structure with this stoichiometry: 0.000 eV per atom

Lattice parameters (Å, degrees): 4.726 6.828 8.934 107.16 105.34 90.00
Fractional positions:
Tm  0.597  0.456  0.195
Tm  0.332  0.039  0.664
Ir  0.500  0.000  0.000
Tm  0.668  0.961  0.336
Tm  0.794  0.688  0.588
Os  0.184  0.698  0.367
Os  0.816  0.302  0.633
Tm  0.403  0.544  0.805
Tm  0.969  0.208  0.939
Tm  0.206  0.312  0.412
Tm  0.031  0.792  0.061


The following is a DFT calculation (PBE) of Tm6IrOs2 after structural relaxation.

Lattice parameters (Å, degrees): 6.565 7.339 9.166 90.00 87.79 90.00
Fractional positions:
Tm  0.834  0.958  0.238
Tm  0.148  0.332  0.067
Os  0.035  0.631  0.268
Os  0.465  0.131  0.232
Tm  0.670  0.171  0.928
Tm  0.666  0.458  0.262
Tm  0.166  0.042  0.762
Os  0.535  0.869  0.768
Ir  0.000  0.000  0.500
Tm  0.330  0.829  0.072
Tm  0.352  0.832  0.433
Os  0.965  0.369  0.732
Tm  0.170  0.329  0.428
Ir  0.500  0.500  0.000
Tm  0.852  0.668  0.933
Tm  0.830  0.671  0.572
Tm  0.648  0.168  0.567
Tm  0.334  0.542  0.738


The following is a DFT calculation (PBE) of TmUIrOs after structural relaxation.

Lattice parameters (Å, degrees): 4.804 4.804 4.804 60.00 60.00 60.00
Fractional positions:
Os  0.500  0.500  0.500
Ir  0.000  0.000  0.000
U  0.750  0.750  0.750
Tm  0.250  0.250  0.250


The following is a DFT calculation (PBE) of U6IrOs2 after structural relaxation.

Lattice parameters (Å, degrees): 2.779 8.678 8.678 56.55 71.35 71.35
Fractional positions:
U  0.836  0.664  0.000
U  0.164  0.000  0.336
Os  0.826  0.667  0.667
Ir  0.000  0.000  0.000
U  0.836  0.000  0.664
Os  0.174  0.333  0.333
U  0.500  0.335  0.665
U  0.164  0.336  0.000
U  0.500  0.665  0.335


The following is a DFT calculation (PBE) of U3Ir12Os5 after structural relaxation.

Lattice parameters (Å, degrees): 12.907 12.907 12.907 109.47 109.47 109.47
Fractional positions:
Ir  0.777  0.333  0.916
Ir  0.138  0.416  0.083
Os  0.000  0.000  0.500
U  0.250  0.125  0.375
Ir  0.723  0.584  0.167
Ir  0.416  0.277  0.333
Ir  0.416  0.138  0.583
Ir  0.556  0.333  0.917
Os  0.125  0.750  0.375
Os  0.250  0.875  0.125
Ir  0.584  0.723  0.667
Ir  0.916  0.083  0.638
Ir  0.917  0.084  0.862
Ir  0.084  0.167  0.223
U  0.875  0.125  0.250
Ir  0.444  0.667  0.083
Ir  0.167  0.083  0.944
Ir  0.833  0.916  0.277
U  0.250  0.625  0.875
Os  0.375  0.125  0.750
Ir  0.333  0.777  0.416
Os  0.625  0.875  0.250
Ir  0.833  0.917  0.056
Ir  0.167  0.084  0.723
Ir  0.862  0.584  0.917
U  0.125  0.875  0.750
Ir  0.944  0.583  0.167
Ir  0.277  0.862  0.944
U  0.125  0.250  0.875
Ir  0.583  0.944  0.667
Ir  0.138  0.723  0.556
Ir  0.417  0.056  0.333
Ir  0.362  0.417  0.084
Os  0.750  0.625  0.375
Os  0.125  0.375  0.250
Ir  0.417  0.362  0.584
Ir  0.083  0.916  0.138
Os  0.625  0.750  0.875
Ir  0.638  0.056  0.223
U  0.750  0.875  0.625
Os  0.750  0.125  0.875
U  0.625  0.375  0.750
Ir  0.667  0.223  0.584
Ir  0.638  0.583  0.916
Ir  0.584  0.862  0.417
Ir  0.083  0.167  0.444
Ir  0.277  0.416  0.833
Ir  0.056  0.638  0.723
U  0.875  0.750  0.125
Ir  0.917  0.833  0.556
Os  0.000  0.500  0.500
Ir  0.777  0.444  0.362
Os  0.500  0.000  0.500
Ir  0.944  0.362  0.277
Ir  0.667  0.444  0.583
Ir  0.056  0.417  0.833
Os  0.375  0.250  0.125
Ir  0.862  0.277  0.444
Os  0.000  0.000  0.000
U  0.625  0.250  0.375
Os  0.500  0.000  0.000
Ir  0.333  0.556  0.417
Ir  0.223  0.556  0.638
U  0.375  0.750  0.625
Os  0.875  0.250  0.625
Ir  0.556  0.223  0.138
Ir  0.084  0.917  0.362
Ir  0.916  0.833  0.777
Os  0.875  0.625  0.750
Ir  0.444  0.777  0.862
Ir  0.223  0.667  0.084
Ir  0.583  0.638  0.416
Ir  0.723  0.138  0.056
Ir  0.362  0.944  0.777
U  0.375  0.625  0.250
Os  0.500  0.500  0.500
Os  0.250  0.375  0.625
Os  0.500  0.500  0.000
U  0.750  0.375  0.125
Os  0.000  0.500  0.000


The following is a DFT calculation (PBE) of VIrOs3 after structural relaxation.

Calculated values
- Energy above the lowest structure with this stoichiometry: 2.106 eV per atom

Lattice parameters (Å, degrees): 4.694 4.694 4.694 90.00 90.00 90.00
Fractional positions:
Ir  0.000  0.000  0.000
Os  0.500  0.000  0.000
Os  0.000  0.500  0.000
Os  0.000  0.000  0.500
V  0.500  0.500  0.500


The following is a DFT calculation (PBE) of V9Ir11Os4 after structural relaxation.

Lattice parameters (Å, degrees): 3.805 9.950 9.950 111.40 90.00 90.00
Fractional positions:
V  0.500  0.207  0.036
Os  0.500  0.251  0.439
Ir  0.000  0.342  0.658
Ir  0.000  0.075  0.414
V  0.500  0.133  0.624
V  0.500  0.500  0.500
Ir  0.000  0.244  0.244
Os  0.500  0.561  0.749
Os  0.500  0.439  0.251
Ir  0.000  0.925  0.586
Ir  0.000  0.414  0.075
V  0.500  0.793  0.964
V  0.500  0.964  0.793
Os  0.500  0.749  0.561
Ir  0.000  0.172  0.828
Ir  0.000  0.828  0.172
Ir  0.000  0.000  0.000
V  0.500  0.624  0.133
V  0.500  0.376  0.867
Ir  0.000  0.586  0.925
V  0.500  0.036  0.207
Ir  0.000  0.658  0.342
Ir  0.000  0.756  0.756
V  0.500  0.867  0.376


The following is a DFT calculation (PBE) of VIrOs3 after structural relaxation.

Calculated values
- Energy above the lowest structure with this stoichiometry: 1.629 eV per atom

Lattice parameters (Å, degrees): 4.411 4.411 4.411 90.00 90.00 90.00
Fractional positions:
Os  0.000  0.500  0.000
V  0.000  0.000  0.000
Os  0.000  0.000  0.500
Os  0.500  0.000  0.000
Ir  0.500  0.500  0.500


The following is a DFT calculation (PBE) of VIrOs3 after structural relaxation.

Calculated values
- Energy above the lowest structure with this stoichiometry: 0.000 eV per atom

Lattice parameters (Å, degrees): 4.146 7.283 8.048 139.33 90.00 90.00
Fractional positions:
Os  0.250  0.443  0.558
V  0.250  0.428  0.147
Ir  0.750  0.113  0.664
Os  0.750  0.087  0.973
Os  0.250  0.913  0.027
Ir  0.250  0.887  0.336
Os  0.250  0.896  0.675
Os  0.750  0.104  0.325
V  0.750  0.572  0.853
Os  0.750  0.557  0.442


The following is a DFT calculation (PBE) of VIr4Os after structural relaxation.

Calculated values
- Energy above the lowest structure with this stoichiometry: 0.446 eV per atom

Lattice parameters (Å, degrees): 5.914 5.804 5.804 90.00 90.00 90.00
Fractional positions:
Ir  0.759  0.500  0.000
Ir  0.241  0.500  0.500
Os  0.500  0.250  0.251
Ir  0.241  0.000  0.500
Os  0.500  0.750  0.749
V  0.000  0.250  0.751
Ir  0.241  0.000  0.000
Ir  0.759  0.000  0.500
Ir  0.759  0.500  0.500
Ir  0.759  0.000  0.000
Ir  0.241  0.500  0.000
V  0.000  0.750  0.249


The following is a DFT calculation (PBE) of V2IrOs4 after structural relaxation.

Lattice parameters (Å, degrees): 6.638 6.638 6.638 99.48 114.69 114.69
Fractional positions:
Os  0.794  0.809  0.309
Os  0.500  0.985  0.191
Os  0.500  0.691  0.485
Os  0.500  0.015  0.809
Os  0.206  0.191  0.691
Ir  0.000  0.750  0.750
V  0.500  0.653  0.847
Os  0.206  0.515  0.015
Os  0.500  0.309  0.515
Os  0.794  0.485  0.985
V  0.195  0.847  0.347
Ir  0.000  0.250  0.250
V  0.805  0.153  0.653
V  0.500  0.347  0.153


The following is a DFT calculation (PBE) of VIr3Os after structural relaxation.

Calculated values
- Energy above the lowest structure with this stoichiometry: 0.000 eV per atom

Lattice parameters (Å, degrees): 4.349 5.416 6.671 101.90 109.05 90.05
Fractional positions:
Os  0.236  0.398  0.505
V  0.422  0.727  0.878
Ir  0.032  0.549  0.100
Ir  0.012  0.029  0.054
Ir  0.812  0.683  0.657
Ir  0.232  0.896  0.497
Ir  0.623  0.338  0.281
Os  0.808  0.181  0.649
Ir  0.421  0.241  0.873
V  0.621  0.851  0.276


The following is a DFT calculation (PBE) of V3IrOs2 after structural relaxation.

Lattice parameters (Å, degrees): 6.395 6.395 6.855 90.00 90.00 143.31
Fractional positions:
Ir  0.669  0.331  0.000
Os  0.000  0.000  0.000
V  0.500  0.500  0.749
V  0.500  0.500  0.251
Os  0.000  0.000  0.500
Ir  0.331  0.669  0.000
V  0.834  0.166  0.256
Os  0.666  0.334  0.500
V  0.166  0.834  0.744
V  0.834  0.166  0.744
Os  0.334  0.666  0.500
V  0.166  0.834  0.256


no.,D(E_F) (states/eV/cell),ΔH_f (0 K) (eV/atom)
1,10.71,-0.330
2,7.89,-0.370
3,9.87,-0.436
4,5.14,-0.462
5,5.23,-0.582
6,9.24,-0.332
7,9.47,-0.394
8,9.53,-0.365
9,8.13,-0.349
10,15.34,-0.191
11,93.58,0.574
12,10.25,2.346
13,19.25,-0.176
14,6.49,1.869
15,7.60,0.240
16,10.73,0.190
17,9.53,0.313
18,10.39,-0.103
19,16.83,-0.254